# 1
The following is a PBE calculation of a geometry-optimized TaInAg2 structure, from Alexandria via LeMat-Bulk.

raw total energy	-19.16	eV for the cell shown
ρ	11.171	g/cm3
DFT formation energy	6.53	kcal/mol of atoms
calculated volume	19.01	Å³ per atom
N(E_F)	2.17	states/eV/f.u.

Structure (extended XYZ):
```
4
Lattice="-4.761 0.715 0.034 -0.428 -2.824 -0.503 -0.170 -1.388 5.282" Properties=species:S:1:pos:R:3 pbc="T T T"
Ta -2.829 -2.802 3.601
Ag -0.272 -1.934 2.476
In -2.530 -0.696 1.212
Ag -0.197 -1.560 5.195
```

=====

# 2
The following is a PBE calculation of a geometry-optimized TaInAg2 structure, from Alexandria via LeMat-Bulk.

raw total energy	-18.84	eV for the cell shown
ρ	11.167	g/cm3
DFT formation energy	8.39	kcal/mol of atoms
calculated volume	19.01	Å³ per atom
N(E_F)	2.64	states/eV/f.u.

Structure (extended XYZ):
```
4
Lattice="-5.614 -1.587 0.386 -1.710 -3.480 4.376 2.208 5.058 -1.932" Properties=species:S:1:pos:R:3 pbc="T T T"
In -3.695 -2.557 2.403
Ag -3.534 0.469 0.417
Ta -1.575 -0.473 2.409
Ag -7.297 -5.049 4.745
```

=====

# 3
The following is a PBE calculation of a geometry-optimized TaIn3Ag structure, from Alexandria via LeMat-Bulk.

E above lowest polymorph	0	kJ/mol of formula units
raw total energy	-18.69	eV for the cell shown
ρ	6.625	g/cm3
DFT formation energy	19.50	kcal/mol of atoms
calculated volume	31.75	Å³ per atom
N(E_F)	3.86	states/eV/f.u.

Structure (extended XYZ):
```
5
Lattice="5.414 0.000 0.000 0.000 5.414 0.000 0.000 0.000 5.414" Properties=species:S:1:pos:R:3 pbc="T T T"
Ag 2.707 2.707 2.707
In 2.707 0.000 0.000
Ta 0.000 0.000 0.000
In 0.000 0.000 2.707
In 0.000 2.707 0.000
```

=====

# 4
The following is a PBE calculation of a geometry-optimized Ta2InAg2 structure, from Alexandria via LeMat-Bulk.

raw total energy	-28.35	eV for the cell shown
ρ	11.169	g/cm3
DFT formation energy	17.52	kcal/mol of atoms
calculated volume	20.59	Å³ per atom
N(E_F)	6.07	states/eV/f.u.

Structure (extended XYZ):
```
5
Lattice="-1.917 1.917 7.001 1.917 -1.917 7.001 1.917 1.917 -7.001" Properties=species:S:1:pos:R:3 pbc="T T T"
In 0.000 0.000 0.000
Ag 0.000 1.917 3.500
Ag 1.917 0.000 3.500
Ta 0.000 0.000 5.726
Ta 0.000 0.000 8.275
```

=====

# 5
The following is a PBE calculation of a geometry-optimized TaIn4Ag structure, from Alexandria via LeMat-Bulk.

raw total energy	-21.60	eV for the cell shown
ρ	9.031	g/cm3
DFT formation energy	15.61	kcal/mol of atoms
calculated volume	22.93	Å³ per atom
N(E_F)	2.91	states/eV/f.u.

Structure (extended XYZ):
```
6
Lattice="0.000 4.097 4.097 4.097 0.000 4.097 4.097 4.097 0.000" Properties=species:S:1:pos:R:3 pbc="T T T"
In 5.122 5.122 3.073
In 5.122 3.073 5.122
Ta 6.146 6.146 6.146
In 3.073 3.073 3.073
Ag 0.000 0.000 0.000
In 3.073 5.122 5.122
```

=====

# 6
The following is a PBE calculation of a geometry-optimized TaInAg2 structure, from Alexandria via LeMat-Bulk.

raw total energy	-18.85	eV for the cell shown
ρ	11.112	g/cm3
DFT formation energy	8.33	kcal/mol of atoms
calculated volume	19.11	Å³ per atom
N(E_F)	3.15	states/eV/f.u.

Structure (extended XYZ):
```
4
Lattice="5.378 0.000 0.000 -2.115 4.945 0.000 0.000 0.000 2.874" Properties=species:S:1:pos:R:3 pbc="T T T"
Ta -1.057 2.473 1.437
Ag 0.000 0.000 0.000
In 2.689 0.000 1.437
Ag 1.632 2.473 0.000
```

=====

# 7
The following is a PBE calculation of a geometry-optimized TaInAg2 structure, from Alexandria via LeMat-Bulk.

raw total energy	-18.53	eV for the cell shown
ρ	11.228	g/cm3
DFT formation energy	10.17	kcal/mol of atoms
calculated volume	18.91	Å³ per atom
N(E_F)	2.10	states/eV/f.u.

Structure (extended XYZ):
```
4
Lattice="4.749 -0.042 0.002 0.055 4.748 0.002 -2.401 -2.352 3.353" Properties=species:S:1:pos:R:3 pbc="T T T"
Ag 4.804 4.706 0.004
In 2.402 2.353 0.002
Ta 2.375 -0.021 1.678
Ag 0.028 2.375 1.678
```

=====

# 8
The following is a PBE calculation of a geometry-optimized TaIn3Ag structure, from Alexandria via LeMat-Bulk.

E above lowest polymorph	149	kJ/mol of formula units
raw total energy	-17.15	eV for the cell shown
ρ	7.680	g/cm3
DFT formation energy	26.61	kcal/mol of atoms
calculated volume	27.38	Å³ per atom
N(E_F)	5.45	states/eV/f.u.

Structure (extended XYZ):
```
5
Lattice="5.154 0.000 0.000 0.000 5.154 0.000 0.000 0.000 5.154" Properties=species:S:1:pos:R:3 pbc="T T T"
In 0.000 0.000 2.577
In 2.577 0.000 0.000
Ag 0.000 0.000 0.000
In 0.000 2.577 0.000
Ta 2.577 2.577 2.577
```

=====

# 9
The following is a PBE calculation of a geometry-optimized TaInAg2 structure, from Alexandria via LeMat-Bulk.

raw total energy	-19.27	eV for the cell shown
ρ	10.971	g/cm3
DFT formation energy	5.90	kcal/mol of atoms
calculated volume	19.35	Å³ per atom
N(E_F)	2.58	states/eV/f.u.

Structure (extended XYZ):
```
4
Lattice="2.872 -0.029 0.000 -0.911 2.724 0.000 0.000 0.000 9.930" Properties=species:S:1:pos:R:3 pbc="T T T"
Ag 0.000 0.000 9.821
Ta 0.981 1.347 7.447
Ag 0.000 0.000 5.073
In 0.981 1.347 2.482
```

=====

# 10
The following is a PBE calculation of a geometry-optimized TaInAg2 structure, from Alexandria via LeMat-Bulk.

raw total energy	-19.63	eV for the cell shown
ρ	11.317	g/cm3
DFT formation energy	3.82	kcal/mol of atoms
calculated volume	18.76	Å³ per atom
N(E_F)	1.11	states/eV/f.u.

Structure (extended XYZ):
```
4
Lattice="-2.463 1.426 -0.900 -0.931 0.181 2.830 3.969 7.382 0.834" Properties=species:S:1:pos:R:3 pbc="T T T"
Ag 3.964 7.372 0.833
Ta 1.316 6.408 1.599
Ag -0.736 2.590 1.167
In 1.985 3.692 0.417
```

=====

# 11
The following is a PBE calculation of a geometry-optimized TaInAg2 structure, from Alexandria via LeMat-Bulk.

raw total energy	-18.65	eV for the cell shown
ρ	11.263	g/cm3
DFT formation energy	9.50	kcal/mol of atoms
calculated volume	18.85	Å³ per atom
N(E_F)	2.56	states/eV/f.u.

Structure (extended XYZ):
```
4
Lattice="-2.250 3.592 -3.013 1.581 -0.534 -4.926 -1.927 -3.386 3.445" Properties=species:S:1:pos:R:3 pbc="T T T"
Ag -0.335 1.529 -3.969
Ta -2.256 0.867 -1.769
Ag 0.000 0.000 0.000
In -0.340 -1.195 -2.725
```

=====

# 12
The following is a PBE calculation of a geometry-optimized TaInAg2 structure, from Alexandria via LeMat-Bulk.

raw total energy	-18.89	eV for the cell shown
ρ	11.161	g/cm3
DFT formation energy	8.09	kcal/mol of atoms
calculated volume	19.03	Å³ per atom
N(E_F)	2.93	states/eV/f.u.

Structure (extended XYZ):
```
4
Lattice="-1.963 -3.922 -2.427 0.628 -4.792 -1.330 -2.575 -2.394 4.185" Properties=species:S:1:pos:R:3 pbc="T T T"
Ag -0.008 -0.011 0.011
In -1.962 -5.551 0.232
Ag -2.946 -8.358 0.331
Ta -0.949 -2.742 0.067
```